DFT (PBE with a Hubbard U) results for PrCo3B4O12 after structural relaxation.

Geometry as POSCAR:
```
PrCo3B4O12
1.0
5.978 -0.006 -0.008
-1.446 5.801 -0.008
-1.446 -1.849 5.498
Pr Co B O
1 3 4 12
Cartesian
0.000 0.000 0.000
2.709 2.551 -0.008
1.823 -1.037 3.074
-1.446 2.432 2.416
4.785 -0.562 2.741
-1.698 1.168 5.145
1.543 5.313 0.337
1.543 1.973 2.741
1.543 0.841 3.556
4.617 2.736 0.462
-1.530 4.377 2.741
1.543 -1.194 5.020
0.517 5.216 1.235
-0.595 0.385 5.338
4.938 0.613 2.060
2.569 4.431 0.144
-1.852 2.187 4.247
3.681 -0.994 3.422
2.642 2.246 1.926
0.444 2.833 2.741
```

Summary:
**Symmetry**: R32 (155)
**Uncorrected energy**: -145.043 eV for the cell shown